DFT (PBE-GGA) results for an optimized crystal structure of SrPmCuNi.

Values from the calculation:
- total DFT energy (no corrections) (eV per cell) = -16.36
- energy of formation from the pure elements (eV per atom) = -0.012

a b c (Å): 5.0693 5.0693 5.0693
angles (deg): 60.00 60.00 60.00
Element x y z (fractional)
Sr 0.0000 0.0000 0.0000
Pm 0.5000 0.5000 0.5000
Ni 0.7500 0.7500 0.7500
Cu 0.2500 0.2500 0.2500